# 1
DFT (PBE-GGA) results for a relaxed Pm2CdCo crystal.

**Energy of formation**: -66 meV per atom
**Offset from the most stable computed form**: 95 meV per atom

Lattice parameters (Å, degrees): 5.174 5.174 5.174 60.00 60.00 60.00
Fractional coordinates of all 4 atoms:
Pm 0.250 0.250 0.250
Pm 0.750 0.750 0.750
Cd 0.000 0.000 0.000
Co 0.500 0.500 0.500


# 2
DFT (PBE-GGA) results for a relaxed Pm4Cd5Co2 crystal.

**Energy of formation**: -236 meV per atom

Lattice parameters (Å, degrees): 7.735 3.681 9.516 90.00 94.48 90.00
Fractional coordinates of all 11 atoms:
Pm 0.169 0.000 0.340
Pm 0.215 0.000 0.945
Pm 0.785 0.000 0.055
Pm 0.831 0.000 0.660
Cd 0.182 0.500 0.651
Cd 0.450 0.500 0.175
Cd 0.500 0.500 0.500
Cd 0.550 0.500 0.825
Cd 0.818 0.500 0.349
Co 0.070 0.500 0.134
Co 0.930 0.500 0.866


# 3
DFT (PBE-GGA) results for a relaxed Pm8CdCo2 crystal.

**Energy of formation**: -19 meV per atom

Lattice parameters (Å, degrees): 8.076 8.076 5.544 97.20 97.20 115.74
Fractional coordinates of all 11 atoms:
Pm 0.077 0.334 0.565
Pm 0.249 0.751 0.000
Pm 0.334 0.077 0.565
Pm 0.395 0.395 0.199
Pm 0.605 0.605 0.801
Pm 0.666 0.923 0.435
Pm 0.751 0.249 0.000
Pm 0.923 0.666 0.435
Cd 0.000 0.000 0.000
Co 0.294 0.706 0.500
Co 0.706 0.294 0.500


What did the first record say?
DFT (PBE-GGA) results for a relaxed Pm2CdCo crystal.

**Energy of formation**: -66 meV per atom
**Offset from the most stable computed form**: 95 meV per atom

Lattice parameters (Å, degrees): 5.174 5.174 5.174 60.00 60.00 60.00
Fractional coordinates of all 4 atoms:
Pm 0.250 0.250 0.250
Pm 0.750 0.750 0.750
Cd 0.000 0.000 0.000
Co 0.500 0.500 0.500


What is the formula in the first record?
Pm2CdCo